5
Lattice="4.949 0.000 0.000 0.000 4.949 0.000 0.000 0.000 4.825" Properties=species:S:1:pos:R:3 comment="TlFeRhSe2 (PBE, optimized geometry)" e_form_raw_ev_per_atom=0.358 density_g_cm3=7.32 pbc="T T T"
Tl 0.000 0.000 0.000
Fe 2.475 2.475 0.000
Rh 2.475 2.475 2.413
Se 0.000 2.475 2.413
Se 2.475 0.000 2.413


8
Lattice="-1.875 1.875 8.549 1.875 -1.875 8.549 1.875 1.875 -8.549" Properties=species:S:1:pos:R:3 comment="HfMnCo2 (PBE, optimized geometry)" formation_energy_ev_per_atom=0.3969 density_g_cm3=9.70 pbc="T T T"
Hf 0.000 0.000 0.000
Hf 0.000 1.875 4.274
Mn 1.875 0.000 4.274
Mn 0.000 0.000 8.549
Co 0.938 -0.700 6.412
Co 1.175 0.938 2.137
Co 0.938 2.575 -2.137
Co 0.700 0.938 10.686


8
Lattice="-2.785 2.785 5.447 2.785 -2.785 5.447 2.785 2.785 -5.447" Properties=species:S:1:pos:R:3 comment="AsOs2Rh (PBE, optimized geometry)" formation_energy_ev_per_atom=1.0314 density_g_cm3=10.97 pbc="T T T"
As 0.000 0.000 0.000
As 0.000 2.785 2.723
Os 4.177 1.387 -1.362
Os 1.387 1.392 1.362
Os -1.392 1.398 4.085
Os 1.398 1.392 6.809
Rh 2.785 0.000 2.723
Rh 0.000 0.000 5.447


11
Lattice="3.595 -6.263 0.000 3.595 6.263 0.000 -2.342 0.000 7.776" Properties=species:S:1:pos:R:3 comment="Na2DyHf2Te6 (PBE, optimized geometry)" e_form_raw_ev_per_atom=-0.994 density_g_cm3=6.31 pbc="T T T"
Na 3.595 4.265 0.000
Na 3.595 -4.265 0.000
Dy -1.171 0.000 3.888
Hf 2.424 2.105 3.888
Hf 2.424 -2.105 3.888
Te 0.085 2.174 5.637
Te 1.367 0.000 2.152
Te 0.085 -2.174 5.637
Te 4.763 2.174 2.139
Te 3.481 0.000 5.624
Te 4.763 -2.174 2.139